This record from Alexandria describes Ac6PRu2Cl3 after structural relaxation. The functional is PBE.

Unit cell a=7.572 b=7.572 c=8.223 alpha=98.80 beta=98.80 gamma=120.00
Sites, in units of the cell vectors:
Ac 0.085 0.432 0.795
Ac 0.220 0.220 0.205
Ac 0.432 0.085 0.795
Ac 0.568 0.915 0.205
Ac 0.780 0.780 0.795
Ac 0.915 0.568 0.205
P 0.500 0.500 0.000
Ru 0.167 0.833 0.000
Ru 0.833 0.167 0.000
Cl 0.000 0.000 0.500
Cl 0.333 0.667 0.500
Cl 0.667 0.333 0.500

This record from Alexandria describes HoTlAg2I6 after structural relaxation. The functional is PBE.

Unit cell a=8.545 b=8.545 c=8.545 alpha=54.83 beta=54.83 gamma=54.83
Sites, in units of the cell vectors:
Ho 0.000 0.000 0.000
Tl 0.515 0.515 0.515
Ag 0.335 0.335 0.335
Ag 0.819 0.819 0.819
I 0.066 0.409 0.745
I 0.182 0.973 0.587
I 0.409 0.745 0.066
I 0.587 0.182 0.973
I 0.745 0.066 0.409
I 0.973 0.587 0.182

This record from Alexandria describes CaTlSe2 after structural relaxation. The functional is PBE.

Unit cell a=7.445 b=7.445 c=7.445 alpha=90.00 beta=90.00 gamma=90.00
Sites, in units of the cell vectors:
Ca 0.000 0.000 0.000
Ca 0.000 0.500 0.500
Ca 0.500 0.000 0.500
Ca 0.500 0.500 0.000
Tl 0.000 0.000 0.500
Tl 0.000 0.500 0.000
Tl 0.500 0.000 0.000
Tl 0.500 0.500 0.500
Se 0.250 0.250 0.250
Se 0.250 0.250 0.750
Se 0.250 0.750 0.250
Se 0.250 0.750 0.750
Se 0.750 0.250 0.250
Se 0.750 0.250 0.750
Se 0.750 0.750 0.250
Se 0.750 0.750 0.750

Number 1: uncorrected formation energy -13.55 eV per formula unit, total magnetic moment 0.00 μB/cell, VASP energy -67.70 eV/f.u.. Number 2: uncorrected formation energy -7.29 eV per formula unit, total magnetic moment 0.00 μB/cell, VASP energy -29.24 eV/f.u.. Number 3: uncorrected formation energy -3.33 eV per formula unit, total magnetic moment 0.00 μB/cell, VASP energy -14.67 eV/f.u..